[1]
{
  "formula": "LaCo2Tc",
  "functional": "meta-GGA SCAN",
  "state": "single point on PBEsol structure",
  "lattice": [[-2.0091, 1.9124, -0.1596], [-1.6259, -2.0387, -3.9607], [-2.0938, -1.8401, 4.3096]],
  "species": ["Co", "Co", "Tc", "La"],
  "fractional_positions": [[0.0000, 0.0000, 0.0000], [0.5000, 0.5000, 0.5000], [0.0000, 0.0000, 0.5000], [0.5000, 0.5000, 0.0000]],
  "n_ef_per_ev_fu": 3.11,
  "magnetic_moment_mub_per_cell": 3.3,
  "formation_energy_mev_per_atom": 699,
  "e_above_lowest_polymorph_ev_per_atom": 0.467
}

[2]
{
  "formula": "LiMn5Cu2O12",
  "functional": "meta-GGA SCAN",
  "state": "single point on PBEsol structure",
  "lattice": [[4.9905, 0.0493, 0.0173], [-2.1652, 4.4965, 0.0173], [-0.6061, -0.9752, 8.9606]],
  "species": ["Li", "Mn", "Mn", "Mn", "Mn", "Mn", "Cu", "Cu", "O", "O", "O", "O", "O", "O", "O", "O", "O", "O", "O", "O"],
  "fractional_positions": [[0.0776, 0.9224, 0.5000], [0.9161, 0.0839, 0.0000], [0.5780, 0.4220, 0.0000], [0.4218, 0.5782, 0.5000], [0.0043, 0.5110, 0.2617], [0.4890, 0.9957, 0.7383], [0.7539, 0.2461, 0.5000], [0.2468, 0.7532, 0.0000], [0.6853, 0.1865, 0.1289], [0.2525, 0.0804, 0.8931], [0.8135, 0.3147, 0.8711], [0.4473, 0.2624, 0.6109], [0.0774, 0.2664, 0.3884], [0.7376, 0.5527, 0.3891], [0.2417, 0.4235, 0.1048], [0.9196, 0.7475, 0.1069], [0.5765, 0.7583, 0.8952], [0.1981, 0.6674, 0.6348], [0.7336, 0.9226, 0.6116], [0.3326, 0.8019, 0.3652]],
  "n_ef_per_ev_fu": 5.27,
  "magnetic_moment_mub_per_cell": 16.0,
  "raw_formation_energy_ev_per_atom": -1.784
}

[3]
{
  "formula": "ThNiSn",
  "functional": "meta-GGA SCAN",
  "state": "single point on PBEsol structure",
  "lattice": [[4.5937, 0.0000, 0.0000], [2.2968, 3.9782, 0.0000], [2.2968, 1.3261, 3.7507]],
  "species": ["Ni", "Sn", "Th"],
  "fractional_positions": [[0.0000, 0.0000, 0.0000], [0.7500, 0.7500, 0.7500], [0.2500, 0.2500, 0.2500]],
  "magnetic_moment_mub_per_cell": 0.0,
  "formation_energy_mev_per_atom": -751
}

[4]
{
  "formula": "TlCoTe2",
  "functional": "meta-GGA SCAN",
  "state": "single point on PBEsol structure",
  "lattice": [[-2.8277, 1.5160, 0.5534], [-1.5688, -0.4578, 2.8160], [3.8980, 8.7671, 5.4791]],
  "species": ["Tl", "Te", "Te", "Co"],
  "fractional_positions": [[0.5000, 0.5000, 0.5000], [0.0737, 0.0737, 0.7790], [0.9263, 0.9263, 0.2210], [0.0000, 0.0000, 0.0000]],
  "n_ef_per_ev_fu": 3.89,
  "magnetic_moment_mub_per_cell": 1.7,
  "raw_formation_energy_ev_per_atom": 0.477
}